# 1
## TlCd3In8 (PBE)

Data for a relaxed TlCd3In8 crystal.

Cell and atoms, written as POSCAR:
```
TlCd3In8
1.0
5.819 0.000 3.141
2.062 5.442 3.141
-1.472 -1.016 9.688
Tl Cd In
1 3 8
direct
0.500 0.500 0.500
0.000 0.500 0.000
0.500 0.000 0.000
0.500 0.500 0.000
0.801 0.801 0.598
0.199 0.199 0.402
0.762 0.762 0.250
0.762 0.226 0.250
0.226 0.762 0.250
0.774 0.238 0.750
0.238 0.774 0.750
0.238 0.238 0.750
```

## Properties
Crystal system: trigonal


# 2
## Tl2Cd3In (PBE)

Data for a relaxed Tl2Cd3In crystal.

Cell and atoms, written as POSCAR:
```
Tl2Cd3In
1.0
5.666 0.000 0.000
0.000 8.532 0.000
0.000 -4.266 7.280
Tl Cd In
4 6 2
direct
0.750 0.508 0.345
0.250 0.492 0.655
0.250 0.837 0.345
0.750 0.163 0.655
0.000 0.155 0.310
0.500 0.845 0.690
0.000 0.500 0.000
0.500 0.500 0.000
0.000 0.845 0.690
0.500 0.155 0.310
0.250 0.183 0.000
0.750 0.817 0.000
```

## Properties
Crystal system: orthorhombic
ΔE to the lowest computed polymorph in meV per atom: 67


# 3
## Tl2CdIn (PBE)

Data for a relaxed Tl2CdIn crystal.

Cell and atoms, written as POSCAR:
```
Tl2CdIn
1.0
5.812 -0.014 -0.022
1.922 5.484 -0.024
-3.881 -2.745 3.550
Tl In Cd
2 1 1
direct
0.000 0.000 0.000
0.500 0.500 0.000
0.750 0.250 0.500
0.250 0.750 0.500
```

## Properties
Crystal system: monoclinic
ΔE to the lowest computed polymorph in meV per atom: 28


# 4
## TlCdIn2 (PBE)

Data for a relaxed TlCdIn2 crystal.

Cell and atoms, written as POSCAR:
```
TlCdIn2
1.0
-0.997 -8.214 -2.129
6.157 -2.175 5.509
0.413 -5.525 3.981
Tl Cd In
2 2 4
direct
0.000 0.000 0.000
0.750 0.250 0.500
0.500 0.500 0.000
0.250 0.750 0.500
0.604 0.125 0.250
0.146 0.625 0.250
0.375 0.396 0.750
0.875 0.854 0.750
```

## Properties
Crystal system: tetragonal


# 5
## Tl4Cd4In3 (PBE)

Data for a relaxed Tl4Cd4In3 crystal.

Cell and atoms, written as POSCAR:
```
Tl4Cd4In3
1.0
-1.709 2.641 -1.274
-0.238 -2.258 -4.324
-16.216 -5.659 6.730
Tl Cd In
4 4 3
direct
0.846 0.087 0.181
0.240 0.280 0.556
0.760 0.720 0.444
0.154 0.913 0.819
0.416 0.541 0.085
0.583 0.459 0.915
0.716 0.818 0.634
0.284 0.182 0.366
0.312 0.632 0.265
0.688 0.368 0.735
0.000 0.000 0.000
```

## Properties
Crystal system: triclinic


# 6
## Tl5Cd3In3 (PBE)

Data for a relaxed Tl5Cd3In3 crystal.

Cell and atoms, written as POSCAR:
```
Tl5Cd3In3
1.0
-1.842 -2.672 0.411
7.441 -4.109 6.651
-7.978 6.108 3.941
Tl Cd In
5 3 3
direct
0.500 0.667 0.333
0.500 0.333 0.667
0.500 0.316 0.000
0.500 0.684 0.684
0.500 0.000 0.316
0.500 0.594 0.000
0.500 0.406 0.406
0.500 0.000 0.594
0.000 0.831 0.000
0.000 0.000 0.831
0.000 0.169 0.169
```

## Properties
Crystal system: hexagonal


# 7
## Tl12Cd7In (PBE)

Data for a relaxed Tl12Cd7In crystal.

Cell and atoms, written as POSCAR:
```
Tl12Cd7In
1.0
8.681 0.081 0.122
-2.336 8.361 0.122
-2.336 -3.108 7.763
Tl Cd In
12 7 1
direct
0.771 0.233 0.505
0.767 0.495 0.229
0.344 0.085 0.336
0.915 0.664 0.656
0.495 0.229 0.767
0.664 0.656 0.915
0.336 0.344 0.085
0.505 0.771 0.233
0.085 0.336 0.344
0.656 0.915 0.664
0.233 0.505 0.771
0.229 0.767 0.495
0.083 0.684 0.076
0.316 0.924 0.917
0.924 0.917 0.316
0.500 0.500 0.500
0.076 0.083 0.684
0.684 0.076 0.083
0.917 0.316 0.924
0.000 0.000 0.000
```

## Properties
Crystal system: trigonal


# 8
## Tl12CdIn3 (PBE)

Data for a relaxed Tl12CdIn3 crystal.

Cell and atoms, written as POSCAR:
```
Tl12CdIn3
1.0
-2.538 0.754 -4.884
-0.223 -5.502 -0.733
-13.746 -0.387 7.083
Tl Cd In
12 1 3
direct
0.500 0.500 0.000
0.500 0.500 0.247
0.500 0.500 0.500
0.500 0.500 0.753
0.500 0.000 0.123
0.500 0.000 0.375
0.500 0.000 0.625
0.500 0.000 0.877
0.000 0.500 0.123
0.000 0.500 0.375
0.000 0.500 0.625
0.000 0.500 0.877
0.000 0.000 0.000
0.000 0.000 0.251
0.000 0.000 0.500
0.000 0.000 0.749
```

## Properties
Crystal system: tetragonal


# 9
## TlCd2In (PBE)

Data for a relaxed TlCd2In crystal.

Cell and atoms, written as POSCAR:
```
TlCd2In
1.0
6.156 -0.082 0.001
2.628 5.567 -0.001
-3.742 -3.783 3.096
Tl Cd In
1 2 1
direct
0.250 0.750 0.500
0.995 0.995 0.000
0.505 0.505 0.000
0.750 0.250 0.500
```

## Properties
Crystal system: orthorhombic
ΔE to the lowest computed polymorph in meV per atom: 44


# 10
## Tl3Cd5In12 (PBE)

Data for a relaxed Tl3Cd5In12 crystal.

Cell and atoms, written as POSCAR:
```
Tl3Cd5In12
1.0
15.040 0.000 0.000
-5.013 14.180 0.000
-5.013 -7.090 12.280
Tl Cd In
12 20 48
direct
0.750 0.375 0.125
0.875 0.750 0.125
0.375 0.750 0.625
0.250 0.125 0.375
0.875 0.125 0.250
0.375 0.625 0.250
0.625 0.375 0.750
0.125 0.875 0.750
0.750 0.875 0.625
0.625 0.250 0.375
0.125 0.250 0.875
0.250 0.625 0.875
0.125 0.375 0.250
0.000 0.500 0.000
0.000 0.000 0.000
0.375 0.250 0.125
0.500 0.000 0.500
0.500 0.500 0.000
0.125 0.750 0.375
0.750 0.125 0.875
0.750 0.625 0.375
0.375 0.125 0.750
0.625 0.875 0.250
0.500 0.500 0.500
0.500 0.000 0.000
0.000 0.000 0.500
0.250 0.375 0.625
0.250 0.875 0.125
0.000 0.500 0.500
0.875 0.250 0.625
0.625 0.750 0.875
0.875 0.625 0.750
0.727 0.134 0.060
0.334 0.560 0.427
0.940 0.366 0.273
0.560 0.227 0.134
0.593 0.727 0.666
0.940 0.573 0.166
0.334 0.773 0.407
0.073 0.907 0.134
0.573 0.940 0.666
0.727 0.593 0.166
0.773 0.440 0.366
0.834 0.927 0.060
0.134 0.727 0.560
0.366 0.427 0.093
0.093 0.927 0.366
0.407 0.134 0.573
0.093 0.166 0.227
0.440 0.666 0.073
0.834 0.907 0.273
0.134 0.407 0.073
0.366 0.940 0.773
0.573 0.634 0.407
0.927 0.834 0.560
0.773 0.334 0.907
0.427 0.366 0.593
0.073 0.166 0.440
0.227 0.666 0.093
0.166 0.093 0.727
0.634 0.060 0.227
0.866 0.593 0.927
0.560 0.334 0.927
0.593 0.866 0.427
0.907 0.834 0.773
0.907 0.073 0.634
0.866 0.273 0.440
0.166 0.073 0.940
0.634 0.573 0.907
0.427 0.060 0.334
0.273 0.407 0.834
0.227 0.560 0.634
0.927 0.093 0.866
0.666 0.227 0.593
0.440 0.773 0.866
0.060 0.427 0.834
0.407 0.273 0.334
0.060 0.634 0.727
0.666 0.440 0.573
0.273 0.866 0.940
```

## Properties
Crystal system: cubic


# 11
## TlCd3In (PBE)

Data for a relaxed TlCd3In crystal.

Cell and atoms, written as POSCAR:
```
TlCd3In
1.0
-1.308 7.887 -0.446
0.638 -0.327 -7.664
-8.776 -1.201 4.499
Tl Cd In
4 12 4
direct
0.950 0.682 0.193
0.050 0.318 0.807
0.450 0.318 0.307
0.550 0.682 0.693
0.118 0.113 0.354
0.882 0.887 0.646
0.618 0.887 0.146
0.382 0.113 0.854
0.606 0.763 0.398
0.394 0.237 0.602
0.106 0.237 0.102
0.894 0.763 0.898
0.143 0.566 0.627
0.857 0.434 0.373
0.643 0.434 0.873
0.357 0.566 0.127
0.232 0.823 0.486
0.768 0.177 0.514
0.732 0.177 0.014
0.268 0.823 0.986
```

## Properties
Crystal system: monoclinic
ΔE to the lowest computed polymorph in meV per atom: 0


# 12
## TlCd4In5 (PBE)

Data for a relaxed TlCd4In5 crystal.

Cell and atoms, written as POSCAR:
```
TlCd4In5
1.0
-2.048 -2.516 -0.588
2.285 -2.114 1.086
-8.739 1.936 22.157
Tl Cd In
1 4 5
direct
0.000 0.000 0.000
0.000 0.000 0.210
0.000 0.000 0.403
0.000 0.000 0.597
0.000 0.000 0.790
0.500 0.500 0.113
0.500 0.500 0.306
0.500 0.500 0.500
0.500 0.500 0.694
0.500 0.500 0.887
```

## Properties
Crystal system: tetragonal


# 13
## TlCd6In3 (PBE)

Data for a relaxed TlCd6In3 crystal.

Cell and atoms, written as POSCAR:
```
TlCd6In3
1.0
-1.032 3.039 3.715
-9.930 -3.107 -0.217
6.366 -5.987 6.666
Tl Cd In
2 12 6
direct
0.750 0.624 0.545
0.250 0.376 0.455
0.750 0.573 0.073
0.250 0.427 0.927
0.750 0.048 0.186
0.250 0.952 0.814
0.750 0.967 0.648
0.250 0.033 0.352
0.750 0.192 0.504
0.250 0.808 0.496
0.750 0.361 0.240
0.250 0.639 0.760
0.750 0.832 0.902
0.250 0.168 0.098
0.750 0.828 0.328
0.250 0.172 0.672
0.750 0.456 0.759
0.250 0.544 0.241
0.750 0.206 0.924
0.250 0.794 0.076
```

## Properties
Crystal system: monoclinic


# 14
## Tl3Cd2In2 (PBE)

Data for a relaxed Tl3Cd2In2 crystal.

Cell and atoms, written as POSCAR:
```
Tl3Cd2In2
1.0
3.347 -0.082 -0.842
-2.363 5.940 -2.341
0.246 -0.269 10.018
Tl Cd In
3 2 2
direct
0.500 0.000 0.000
0.243 0.869 0.598
0.757 0.131 0.402
0.916 0.696 0.123
0.084 0.304 0.877
0.614 0.526 0.712
0.386 0.474 0.288
```

## Properties
Crystal system: triclinic


# 15
## Tl4CdIn15 (PBE)

Data for a relaxed Tl4CdIn15 crystal.

Cell and atoms, written as POSCAR:
```
Tl4CdIn15
1.0
4.536 0.000 0.000
0.000 4.536 0.000
0.000 0.000 26.967
Tl Cd In
4 1 15
direct
0.000 0.000 0.196
0.000 0.000 0.398
0.000 0.000 0.602
0.000 0.000 0.804
0.000 0.000 0.000
0.500 0.500 0.000
0.500 0.500 0.198
0.500 0.500 0.400
0.500 0.500 0.600
0.500 0.500 0.802
0.500 0.000 0.095
0.500 0.000 0.298
0.500 0.000 0.500
0.500 0.000 0.702
0.500 0.000 0.905
0.000 0.500 0.095
0.000 0.500 0.298
0.000 0.500 0.500
0.000 0.500 0.702
0.000 0.500 0.905
```

## Properties
Crystal system: tetragonal


# 16
## Tl4Cd2In3 (PBE)

Data for a relaxed Tl4Cd2In3 crystal.

Cell and atoms, written as POSCAR:
```
Tl4Cd2In3
1.0
-1.287 -0.173 4.542
0.283 -5.261 2.336
9.460 -1.221 5.092
Tl Cd In
4 2 3
direct
0.669 0.548 0.113
0.001 0.329 0.669
0.999 0.671 0.331
0.331 0.452 0.887
0.334 0.109 0.224
0.666 0.891 0.776
0.331 0.788 0.550
0.000 0.000 0.000
0.669 0.212 0.450
```

## Properties
Crystal system: monoclinic


# 17
## TlCd2In (PBE)

Data for a relaxed TlCd2In crystal.

Cell and atoms, written as POSCAR:
```
TlCd2In
1.0
-4.249 1.441 -1.988
-0.545 -3.105 -1.086
-3.627 -4.753 4.309
Tl Cd In
1 2 1
direct
0.500 0.750 0.750
0.000 0.991 0.006
0.000 0.509 0.494
0.500 0.250 0.250
```

## Properties
Crystal system: monoclinic
ΔE to the lowest computed polymorph in meV per atom: 26


Number 1: D(E_F) 3.48 states/eV/f.u., V 28.66 Å³/atom, DFT formation energy 10.1 kJ per mole of atoms. Number 2: D(E_F) 2.66 states/eV/f.u., V 29.33 Å³/atom, DFT formation energy 9.5 kJ per mole of atoms. Number 3: D(E_F) 1.50 states/eV/f.u., V 28.13 Å³/atom, DFT formation energy 4.6 kJ per mole of atoms. Number 4: D(E_F) 1.93 states/eV/f.u., V 28.93 Å³/atom, DFT formation energy 9.2 kJ per mole of atoms. Number 5: D(E_F) 3.79 states/eV/f.u., V 27.47 Å³/atom, DFT formation energy 4.0 kJ per mole of atoms. Number 6: D(E_F) 3.73 states/eV/f.u., V 30.00 Å³/atom, DFT formation energy 10.0 kJ per mole of atoms. Number 7: D(E_F) 8.32 states/eV/f.u., V 28.57 Å³/atom, DFT formation energy 3.8 kJ per mole of atoms. Number 8: D(E_F) 8.17 states/eV/f.u., V 29.84 Å³/atom, DFT formation energy 2.2 kJ per mole of atoms. Number 9: D(E_F) 1.70 states/eV/f.u., V 26.69 Å³/atom, DFT formation energy 6.5 kJ per mole of atoms. Number 10: D(E_F) 11.42 states/eV/f.u., V 32.73 Å³/atom, DFT formation energy 19.0 kJ per mole of atoms. Number 11: D(E_F) 2.15 states/eV/f.u., V 26.17 Å³/atom, DFT formation energy 4.8 kJ per mole of atoms. Number 12: D(E_F) 4.21 states/eV/f.u., V 25.97 Å³/atom, DFT formation energy 1.7 kJ per mole of atoms. Number 13: D(E_F) 3.38 states/eV/f.u., V 25.70 Å³/atom, DFT formation energy 3.9 kJ per mole of atoms. Number 14: D(E_F) 2.41 states/eV/f.u., V 27.98 Å³/atom, DFT formation energy 3.5 kJ per mole of atoms. Number 15: D(E_F) 8.13 states/eV/f.u., V 27.75 Å³/atom, DFT formation energy 3.5 kJ per mole of atoms. Number 16: D(E_F) 3.83 states/eV/f.u., V 27.97 Å³/atom, DFT formation energy 4.4 kJ per mole of atoms. Number 17: D(E_F) 1.43 states/eV/f.u., V 26.27 Å³/atom, DFT formation energy 4.7 kJ per mole of atoms.